Record 1
The following is a DFT calculation (GGA-PBE) of crystalline Li2TbAlS4 at its relaxed geometry.

a = 7.480 Å, b = 7.480 Å, c = 7.480 Å
α = 121.81°, β = 117.95°, γ = 90.24°
Atoms (fractional coordinates):
Li1 0.000 0.000 0.000
Li2 0.500 0.000 0.000
Li3 0.500 0.000 0.500
Li4 0.500 0.500 0.500
Tb1 0.000 0.500 0.500
Tb2 0.500 0.500 0.000
Al1 0.000 0.000 0.500
Al2 0.000 0.500 0.000
S1 0.212 0.243 0.968
S2 0.225 0.757 0.468
S3 0.242 0.232 0.490
S4 0.242 0.752 0.010
S5 0.758 0.248 0.990
S6 0.758 0.768 0.510
S7 0.775 0.243 0.532
S8 0.788 0.757 0.032

- DOS at the Fermi energy (states/eV/f.u.) = 0.00
- symmetry = Imma
- total magnetic moment (Bohr magnetons per cell) = 0.0
- raw total energy (eV per atom) = -5.056
- volume (Å³ per cell) = 296.0

***

Record 2
The following is a DFT calculation (GGA-PBE) of crystalline Li3Tb3AlS8 at its relaxed geometry.

a = 7.526 Å, b = 7.526 Å, c = 7.526 Å
α = 62.02°, β = 62.02°, γ = 62.02°
Atoms (fractional coordinates):
Li1 0.000 0.500 0.500
Li2 0.500 0.000 0.500
Li3 0.500 0.500 0.000
Tb1 0.000 0.000 0.500
Tb2 0.000 0.500 0.000
Tb3 0.500 0.000 0.000
Al1 0.500 0.500 0.500
S1 0.252 0.252 0.252
S2 0.270 0.270 0.723
S3 0.270 0.723 0.270
S4 0.277 0.730 0.730
S5 0.723 0.270 0.270
S6 0.730 0.277 0.730
S7 0.730 0.730 0.277
S8 0.748 0.748 0.748

- DOS at the Fermi energy (states/eV/f.u.) = 9.23
- symmetry = R-3m
- total magnetic moment (Bohr magnetons per cell) = 0.0
- raw total energy (eV per atom) = -5.317
- volume (Å³ per cell) = 315.0

***

Record 3
The following is a DFT calculation (GGA-PBE) of crystalline LiTb2AlS5 at its relaxed geometry.

a = 8.525 Å, b = 8.525 Å, c = 11.168 Å
α = 90.00°, β = 90.00°, γ = 154.33°
Atoms (fractional coordinates):
Li1 0.214 0.786 0.500
Li2 0.786 0.214 0.000
Tb1 0.122 0.878 0.162
Tb2 0.132 0.868 0.785
Tb3 0.868 0.132 0.285
Tb4 0.878 0.122 0.662
Al1 0.430 0.570 0.937
Al2 0.570 0.430 0.437
S1 0.044 0.956 0.544
S2 0.293 0.707 0.149
S3 0.314 0.686 0.833
S4 0.359 0.641 0.481
S5 0.499 0.501 0.763
S6 0.501 0.499 0.263
S7 0.641 0.359 0.981
S8 0.686 0.314 0.333
S9 0.707 0.293 0.649
S10 0.956 0.044 0.044

- symmetry = Cmc2_1
- total magnetic moment (Bohr magnetons per cell) = 0.0
- raw total energy (eV per atom) = -5.621
- volume (Å³ per cell) = 351.6

***

Record 4
The following is a DFT calculation (GGA-PBE) of crystalline Li3Tb2AlS6 at its relaxed geometry.

a = 6.616 Å, b = 6.616 Å, c = 6.503 Å
α = 99.46°, β = 99.46°, γ = 120.16°
Atoms (fractional coordinates):
Li1 0.000 0.000 0.000
Li2 0.348 0.652 0.000
Li3 0.652 0.348 0.000
Tb1 0.168 0.832 0.500
Tb2 0.832 0.168 0.500
Al1 0.500 0.500 0.500
S1 0.116 0.420 0.257
S2 0.272 0.272 0.736
S3 0.420 0.116 0.257
S4 0.580 0.884 0.743
S5 0.728 0.728 0.264
S6 0.884 0.580 0.743

- DOS at the Fermi energy (states/eV/f.u.) = 0.00
- symmetry = C2/m
- total magnetic moment (Bohr magnetons per cell) = 0.0
- raw total energy (eV per atom) = -5.219
- volume (Å³ per cell) = 232.4

***

Record 5
The following is a DFT calculation (GGA-PBE) of crystalline LiAlTeS2 at its relaxed geometry.

a = 5.294 Å, b = 5.294 Å, c = 5.257 Å
α = 90.00°, β = 90.00°, γ = 90.00°
Atoms (fractional coordinates):
Li1 0.000 0.000 0.000
Al1 0.500 0.500 0.000
Te1 0.500 0.500 0.500
S1 0.000 0.500 0.500
S2 0.500 0.000 0.500

- DOS at the Fermi energy (states/eV/f.u.) = 1.97
- symmetry = P4/mmm
- total magnetic moment (Bohr magnetons per cell) = 0.0
- raw total energy (eV per atom) = -3.097
- volume (Å³ per cell) = 147.3

***

Record 6
The following is a DFT calculation (GGA-PBE) of crystalline LiAl2TeS6 at its relaxed geometry.

a = 8.242 Å, b = 8.242 Å, c = 6.604 Å
α = 99.72°, β = 99.72°, γ = 85.27°
Atoms (fractional coordinates):
Li1 0.093 0.907 0.750
Li2 0.907 0.093 0.250
Al1 0.210 0.398 0.746
Al2 0.398 0.210 0.246
Al3 0.602 0.790 0.754
Al4 0.790 0.602 0.254
Te1 0.249 0.751 0.250
Te2 0.751 0.249 0.750
S1 0.020 0.200 0.628
S2 0.089 0.636 0.879
S3 0.200 0.020 0.128
S4 0.297 0.433 0.446
S5 0.364 0.911 0.621
S6 0.433 0.297 0.946
S7 0.567 0.703 0.054
S8 0.636 0.089 0.379
S9 0.703 0.567 0.554
S10 0.800 0.980 0.872
S11 0.911 0.364 0.121
S12 0.980 0.800 0.372

- DOS at the Fermi energy (states/eV/f.u.) = 8.67
- symmetry = C2/c
- total magnetic moment (Bohr magnetons per cell) = 0.2
- raw total energy (eV per atom) = -4.327
- volume (Å³ per cell) = 435.2

***

Record 7
The following is a DFT calculation (GGA-PBE) of crystalline LiThAlS4 at its relaxed geometry.

a = 7.645 Å, b = 7.645 Å, c = 7.645 Å
α = 121.18°, β = 115.06°, γ = 93.36°
Atoms (fractional coordinates):
Li1 0.500 0.000 0.000
Li2 0.500 0.500 0.500
Th1 0.000 0.000 0.000
Th2 0.500 0.000 0.500
Al1 0.115 0.365 0.750
Al2 0.885 0.635 0.250
S1 0.231 0.740 0.490
S2 0.250 0.260 0.990
S3 0.254 0.260 0.506
S4 0.254 0.749 0.994
S5 0.746 0.251 0.006
S6 0.746 0.740 0.494
S7 0.750 0.740 0.010
S8 0.769 0.260 0.510

- symmetry = Imma
- total magnetic moment (Bohr magnetons per cell) = 0.0
- raw total energy (eV per atom) = -5.633
- volume (Å³ per cell) = 323.2

***

Record 8
The following is a DFT calculation (GGA-PBE) of crystalline Li2TiAlS4 at its relaxed geometry.

a = 6.201 Å, b = 3.490 Å, c = 6.357 Å
α = 90.00°, β = 108.60°, γ = 90.00°
Atoms (fractional coordinates):
Li1 0.000 0.000 0.000
Li2 0.500 0.500 0.000
Ti1 0.000 0.500 0.500
Al1 0.500 0.000 0.500
S1 0.250 0.000 0.732
S2 0.263 0.500 0.274
S3 0.737 0.500 0.726
S4 0.750 0.000 0.268

- DOS at the Fermi energy (states/eV/f.u.) = 3.30
- symmetry = P2/m
- total magnetic moment (Bohr magnetons per cell) = 0.8
- raw total energy (eV per atom) = -5.278
- volume (Å³ per cell) = 130.4